This record from Alexandria describes a geometry-optimized Zr2TiIn2S6 structure. The functional is PBE.

Cell: 6.2004 6.2004 7.9491 Å, 97.87 97.87 119.95°
Last column: nearest neighbours and their distance in Å.
Sites, in units of the cell vectors:
1 Zr 0.1674 0.8326 0.0000  6 S 2.58-2.60
2 Zr 0.8326 0.1674 0.0000  6 S 2.58-2.60
3 Ti 0.5000 0.5000 0.0000  6 S 2.49-2.51
4 In 0.3289 0.6711 0.5000  6 S 3.08-3.11
5 In 0.6711 0.3289 0.5000  6 S 3.08-3.11
6 S 0.1089 0.4313 0.8020  1 Ti 2.51, 2 Zr 2.58-2.60
7 S 0.2507 0.2507 0.1975  1 Ti 2.49, 2 Zr 2.60
8 S 0.4313 0.1089 0.8020  1 Ti 2.51, 2 Zr 2.58-2.60
9 S 0.5687 0.8911 0.1980  1 Ti 2.51, 2 Zr 2.58-2.60
10 S 0.7493 0.7493 0.8025  1 Ti 2.49, 2 Zr 2.60
11 S 0.8911 0.5687 0.1980  1 Ti 2.51, 2 Zr 2.58-2.60

Computed properties:
E_tot = -6.197 eV/atom
Magnetization = 0.00 μB per formula unit
Density of states at the Fermi level = 5.43 states/eV/f.u.
Space-group type = C2/m